Entry from Alexandria: crystalline NiAs3S at its relaxed geometry (PBE-GGA).

Its crystal system is cubic. The total energy comes out at -3.74 eV per atom. The calculation puts the formation energy without anion corrections at 1.0287 eV/atom. The energy above the most stable polymorph in this dataset comes out at 440 meV per atom. The calculation puts the total magnetic moment at 0.00 μB per cell.

The structure in CIF format:
```
data_NiAs3S
_space_group_name_H-M_alt 'P m -3 m'
_space_group_IT_number 221
_space_group_name_Hall '-P 4 2 3'
_cell_length_a 4.7124
_cell_length_b 4.7124
_cell_length_c 4.7124
_cell_angle_alpha 90.00
_cell_angle_beta 90.00
_cell_angle_gamma 90.00
loop_
_atom_site_label
_atom_site_type_symbol
_atom_site_fract_x
_atom_site_fract_y
_atom_site_fract_z
Ni1 Ni 0.0000 0.0000 0.0000
As1 As 0.0000 0.5000 0.5000
S1 S 0.5000 0.5000 0.5000
```

---

Entry from Alexandria: crystalline Ni5As3S12 at its relaxed geometry (PBE-GGA).

Its crystal system is cubic. The total energy comes out at -4.64 eV per atom. The calculation puts the formation energy without anion corrections at -0.0208 eV/atom. The calculation puts the total magnetic moment at 0.00 μB per cell.

The structure in CIF format:
```
data_Ni5As3S12
_space_group_name_H-M_alt 'I a -3 d'
_space_group_IT_number 230
_space_group_name_Hall '-I 4bd 2c 3'
_cell_length_a 14.1684
_cell_length_b 14.1684
_cell_length_c 14.1684
_cell_angle_alpha 90.00
_cell_angle_beta 90.00
_cell_angle_gamma 90.00
loop_
_atom_site_label
_atom_site_type_symbol
_atom_site_fract_x
_atom_site_fract_y
_atom_site_fract_z
Ni1 Ni 0.0000 0.0000 0.0000
Ni2 Ni 0.0000 0.2500 0.3750
As1 As 0.0000 0.2500 0.1250
S1 S 0.0243 0.0522 0.6509
```

---

Entry from Alexandria: crystalline Ni3AsS at its relaxed geometry (PBE-GGA).

Its crystal system is cubic. The total energy comes out at -5.07 eV per atom. The calculation puts the formation energy without anion corrections at 0.1558 eV/atom. The energy above the most stable polymorph in this dataset comes out at 460 meV per atom. The calculation puts the total magnetic moment at 0.01 μB per cell.

The structure in CIF format:
```
data_Ni3AsS
_space_group_name_H-M_alt 'P m -3 m'
_space_group_IT_number 221
_space_group_name_Hall '-P 4 2 3'
_cell_length_a 4.1867
_cell_length_b 4.1867
_cell_length_c 4.1867
_cell_angle_alpha 90.00
_cell_angle_beta 90.00
_cell_angle_gamma 90.00
loop_
_atom_site_label
_atom_site_type_symbol
_atom_site_fract_x
_atom_site_fract_y
_atom_site_fract_z
Ni1 Ni 0.0000 0.0000 0.5000
As1 As 0.5000 0.5000 0.5000
S1 S 0.0000 0.0000 0.0000
```

---

Entry from Alexandria: crystalline Ni4As2S at its relaxed geometry (PBE-GGA).

Its crystal system is tetragonal. The total energy comes out at -5.03 eV per atom. The calculation puts the formation energy without anion corrections at 0.1894 eV/atom. The calculation puts the total magnetic moment at 0.00 μB per cell.

The structure in CIF format:
```
data_Ni4As2S
_space_group_name_H-M_alt 'I 4/m m m'
_space_group_IT_number 139
_space_group_name_Hall '-I 4 2'
_cell_length_a 4.1715
_cell_length_b 4.1715
_cell_length_c 12.3881
_cell_angle_alpha 90.00
_cell_angle_beta 90.00
_cell_angle_gamma 90.00
loop_
_atom_site_label
_atom_site_type_symbol
_atom_site_fract_x
_atom_site_fract_y
_atom_site_fract_z
Ni1 Ni 0.0000 0.0000 0.1719
Ni2 Ni 0.0000 0.5000 0.0000
As1 As 0.0000 0.0000 0.3555
S1 S 0.0000 0.0000 0.0000
```

---

Entry from Alexandria: crystalline Ni3AsS at its relaxed geometry (PBE-GGA).

Its crystal system is orthorhombic. The total energy comes out at -5.53 eV per atom. The calculation puts the formation energy without anion corrections at -0.3043 eV/atom. The energy above the most stable polymorph in this dataset comes out at 0 meV per atom. The calculation puts the total magnetic moment at 0.00 μB per cell.

The structure in CIF format:
```
data_Ni3AsS
_space_group_name_H-M_alt 'P m c 21'
_space_group_IT_number 26
_cell_length_a 3.7042
_cell_length_b 6.5330
_cell_length_c 5.8331
_cell_angle_alpha 90.00
_cell_angle_beta 90.00
_cell_angle_gamma 90.00
loop_
_space_group_symop_operation_xyz
'x,y,z'
'-x,-y,z+1/2'
'-x,y,z'
'x,-y,z+1/2'
loop_
_atom_site_label
_atom_site_type_symbol
_atom_site_fract_x
_atom_site_fract_y
_atom_site_fract_z
Ni1 Ni 0.0000 0.0863 0.0000
Ni2 Ni 0.0000 0.3173 0.5957
Ni3 Ni 0.5000 0.1982 0.3238
As1 As 0.5000 0.1476 0.7365
S1 S 0.0000 0.3650 0.2217
```

---

Entry from Alexandria: crystalline NiSbAs2S at its relaxed geometry (PBE-GGA).

Its crystal system is tetragonal. The total energy comes out at -4.24 eV per atom. The calculation puts the formation energy without anion corrections at 0.4260 eV/atom. The calculation puts the total magnetic moment at 0.00 μB per cell.

The structure in CIF format:
```
data_NiSbAs2S
_space_group_name_H-M_alt 'P 4/m m m'
_space_group_IT_number 123
_space_group_name_Hall '-P 4 2'
_cell_length_a 5.0374
_cell_length_b 5.0374
_cell_length_c 4.0861
_cell_angle_alpha 90.00
_cell_angle_beta 90.00
_cell_angle_gamma 90.00
loop_
_atom_site_label
_atom_site_type_symbol
_atom_site_fract_x
_atom_site_fract_y
_atom_site_fract_z
Ni1 Ni 0.0000 0.0000 0.0000
Sb1 Sb 0.5000 0.5000 0.0000
As1 As 0.0000 0.5000 0.5000
S1 S 0.0000 0.0000 0.5000
```

---

Entry from Alexandria: crystalline NiSbAs2 at its relaxed geometry (PBE-GGA).

Its crystal system is monoclinic. The total energy comes out at -4.77 eV per atom. The calculation puts the formation energy without anion corrections at 0.0349 eV/atom. The calculation puts the total magnetic moment at 0.00 μB per cell.

The structure in CIF format:
```
data_NiSbAs2
_space_group_name_H-M_alt 'C 1 m 1'
_space_group_IT_number 8
_cell_length_a 6.5151
_cell_length_b 3.7740
_cell_length_c 6.6130
_cell_angle_alpha 90.00
_cell_angle_beta 109.40
_cell_angle_gamma 90.00
loop_
_space_group_symop_operation_xyz
'x,y,z'
'x,-y,z'
'x+1/2,y+1/2,z'
'x+1/2,-y+1/2,z'
loop_
_atom_site_label
_atom_site_type_symbol
_atom_site_fract_x
_atom_site_fract_y
_atom_site_fract_z
Ni1 Ni 0.0000 0.0000 0.0000
Sb1 Sb 0.2567 0.0000 0.7646
As1 As 0.2327 0.5000 0.1898
As2 As 0.4816 0.0000 0.4563
```

---

Entry from Alexandria: crystalline NiSbAs4 at its relaxed geometry (PBE-GGA).

Its crystal system is cubic. The total energy comes out at -4.11 eV per atom. The calculation puts the formation energy without anion corrections at 0.6415 eV/atom. The calculation puts the total magnetic moment at 0.00 μB per cell.

The structure in CIF format:
```
data_NiSbAs4
_space_group_name_H-M_alt 'F -4 3 m'
_space_group_IT_number 216
_space_group_name_Hall 'F -4 2 3'
_cell_length_a 7.8348
_cell_length_b 7.8348
_cell_length_c 7.8348
_cell_angle_alpha 90.00
_cell_angle_beta 90.00
_cell_angle_gamma 90.00
loop_
_atom_site_label
_atom_site_type_symbol
_atom_site_fract_x
_atom_site_fract_y
_atom_site_fract_z
Ni1 Ni 0.0000 0.0000 0.0000
Sb1 Sb 0.2500 0.2500 0.7500
As1 As 0.1266 0.1266 0.3734
```